No. 1
Compound: InBiBr
Source: the Alexandria database
Functional: PBE-GGA
Structure: optimized geometry

a = 4.5415 Å, b = 7.2180 Å, c = 12.6058 Å
α = 90.00°, β = 90.00°, γ = 90.00°
Atoms (fractional coordinates):
In1 0.7500 0.7009 0.7804
In2 0.2500 0.7991 0.2804
In3 0.7500 0.2009 0.7196
In4 0.2500 0.2991 0.2196
Bi1 0.2500 0.6229 0.0429
Bi2 0.7500 0.8771 0.5429
Bi3 0.2500 0.1229 0.4571
Bi4 0.7500 0.3771 0.9571
Br1 0.7500 0.5189 0.3500
Br2 0.2500 0.9811 0.8500
Br3 0.7500 0.0189 0.1500
Br4 0.2500 0.4811 0.6500

Energy above the most stable polymorph in this dataset   40 meV per atom
SG   No. 62
Electronic total energy   -3.088 eV/atom
Total magnetic moment   0.0 μB/cell

No. 2
Compound: SbIr4Os
Source: the Alexandria database
Functional: PBE-GGA
Structure: optimized geometry

a = 5.2323 Å, b = 5.2323 Å, c = 5.2323 Å
α = 60.00°, β = 60.00°, γ = 60.00°
Last column: magnetic moment on the atom in μB.
Atoms (fractional coordinates):
Sb1 0.0000 0.0000 0.0000  0.04
Ir1 0.8728 0.3757 0.3757  0.33
Ir2 0.3757 0.3757 0.8728  0.33
Ir3 0.3757 0.8728 0.3757  0.33
Ir4 0.3757 0.3757 0.3757  0.33
Os1 0.7500 0.7500 0.7500  1.50

SG   No. 216
Electronic total energy   -7.652 eV/atom
Total magnetic moment   3.0 μB/cell

No. 3
Compound: NbCuPb3
Source: the Alexandria database
Functional: PBE-GGA
Structure: optimized geometry

a = 5.1898 Å, b = 5.1898 Å, c = 5.1898 Å
α = 90.00°, β = 90.00°, γ = 90.00°
Last column: magnetic moment on the atom in μB.
Atoms (fractional coordinates):
Pb1 0.0000 0.5000 0.0000  -0.02
Pb2 0.0000 0.0000 0.5000  -0.03
Pb3 0.5000 0.0000 0.0000  0.00
Nb1 0.5000 0.5000 0.5000  2.47
Cu1 0.0000 0.0000 0.0000  -0.02

Energy above the most stable polymorph in this dataset   95 meV per atom
SG   No. 221
Electronic total energy   -4.162 eV/atom
Total magnetic moment   3.0 μB/cell

No. 4
Compound: Hf12BeSb6
Source: the Alexandria database
Functional: PBE-GGA
Structure: optimized geometry

a = 7.7699 Å, b = 7.7699 Å, c = 7.7699 Å
α = 99.53°, β = 99.53°, γ = 99.53°
Atoms (fractional coordinates):
Hf1 0.7912 0.5870 0.4768
Hf2 0.4768 0.7912 0.5870
Hf3 0.5870 0.4768 0.7912
Hf4 0.2088 0.4130 0.5232
Hf5 0.5232 0.2088 0.4130
Hf6 0.4130 0.5232 0.2088
Hf7 0.0690 0.0253 0.3186
Hf8 0.9747 0.6814 0.9310
Hf9 0.6814 0.9310 0.9747
Hf10 0.9310 0.9747 0.6814
Hf11 0.0253 0.3186 0.0690
Hf12 0.3186 0.0690 0.0253
Be1 0.0000 0.0000 0.0000
Sb1 0.6827 0.8921 0.3323
Sb2 0.6677 0.3173 0.1079
Sb3 0.1079 0.6677 0.3173
Sb4 0.3173 0.1079 0.6677
Sb5 0.3323 0.6827 0.8921
Sb6 0.8921 0.3323 0.6827

SG   No. 148
Electronic total energy   -7.867 eV/atom
Total magnetic moment   0.0 μB/cell

No. 5
Compound: MgNiPCl2
Source: the Alexandria database
Functional: PBE-GGA
Structure: optimized geometry

a = 4.5385 Å, b = 4.5385 Å, c = 5.9927 Å
α = 90.00°, β = 90.00°, γ = 90.00°
Last column: magnetic moment on the atom in μB.
Atoms (fractional coordinates):
Ni1 0.5000 0.5000 0.5000  1.05
Mg1 0.0000 0.0000 0.0000  0.01
P1 0.0000 0.0000 0.5000  0.46
Cl1 0.0000 0.5000 0.0000  0.06
Cl2 0.5000 0.0000 0.0000  0.06

Energy above the most stable polymorph in this dataset   359 meV per atom
SG   No. 123
Electronic total energy   -3.063 eV/atom
Total magnetic moment   2.4 μB/cell

No. 6
Compound: Ba2Li2ErS4
Source: the Alexandria database
Functional: PBE-GGA
Structure: optimized geometry

a = 4.0592 Å, b = 7.3329 Å, c = 7.7073 Å
α = 109.36°, β = 105.27°, γ = 90.00°
Atoms (fractional coordinates):
Ba1 0.1339 0.5572 0.2678
Ba2 0.8661 0.4428 0.7322
Li1 0.6798 0.9933 0.3595
Li2 0.3202 0.0067 0.6405
Er1 0.0000 0.0000 0.0000
S1 0.2002 0.1834 0.4005
S2 0.7998 0.8166 0.5995
S3 0.5181 0.7584 0.0362
S4 0.4819 0.2416 0.9638

SG   No. 12
Electronic total energy   -4.912 eV/atom
Total magnetic moment   0.0 μB/cell

No. 7
Compound: Mn2GeHRh
Source: the Alexandria database
Functional: PBE-GGA
Structure: optimized geometry

a = 3.7819 Å, b = 3.7819 Å, c = 3.8762 Å
α = 90.00°, β = 90.00°, γ = 90.00°
Last column: magnetic moment on the atom in μB.
Atoms (fractional coordinates):
H1 0.0000 0.0000 0.0000  -0.02
Ge1 0.5000 0.5000 0.5000  -0.13
Mn1 0.0000 0.5000 0.0000  2.56
Mn2 0.5000 0.0000 0.0000  2.56
Rh1 0.0000 0.0000 0.5000  0.11

Energy above the most stable polymorph in this dataset   0 meV per atom
SG   No. 123
Electronic total energy   -6.909 eV/atom
Total magnetic moment   5.2 μB/cell

No. 8
Compound: HfMg14C
Source: the Alexandria database
Functional: PBE-GGA
Structure: optimized geometry

a = 6.4147 Å, b = 6.4147 Å, c = 10.3842 Å
α = 90.00°, β = 90.00°, γ = 125.74°
Atoms (fractional coordinates):
Hf1 0.2998 0.7002 0.5000
Mg1 0.8137 0.1863 0.0000
Mg2 0.3259 0.6741 0.0000
Mg3 0.2722 0.1970 0.5000
Mg4 0.3254 0.1792 0.0000
Mg5 0.8030 0.7278 0.5000
Mg6 0.8208 0.6746 0.0000
Mg7 0.1763 0.3369 0.2498
Mg8 0.1763 0.3369 0.7502
Mg9 0.6631 0.8237 0.2498
Mg10 0.6631 0.8237 0.7502
Mg11 0.7214 0.2786 0.3583
Mg12 0.7214 0.2786 0.6417
Mg13 0.1694 0.8306 0.2490
Mg14 0.1694 0.8306 0.7510
C1 0.8790 0.1210 0.5000

Energy above the most stable polymorph in this dataset   0 meV per atom
SG   No. 38
Electronic total energy   -2.353 eV/atom
Total magnetic moment   0.0 μB/cell

No. 9
Compound: ScMn2FeW
Source: the Alexandria database
Functional: PBE-GGA
Structure: optimized geometry

a = 4.1229 Å, b = 4.6629 Å, c = 4.1229 Å
α = 90.00°, β = 90.00°, γ = 90.00°
Atoms (fractional coordinates):
Sc1 0.0000 0.0000 0.0000
Mn1 0.0000 0.0000 0.5000
Mn2 0.5000 0.0000 0.0000
Fe1 0.5000 0.5000 0.5000
W1 0.0000 0.5000 0.0000

SG   No. 123
Electronic total energy   -6.901 eV/atom
Total magnetic moment   0.0 μB/cell

No. 10
Compound: MgUInCl6
Source: the Alexandria database
Functional: PBE-GGA
Structure: optimized geometry

a = 6.9683 Å, b = 6.9683 Å, c = 13.7451 Å
α = 90.00°, β = 90.00°, γ = 120.00°
Last column: magnetic moment on the atom in μB.
Atoms (fractional coordinates):
Mg1 0.3333 0.6667 0.2500  0.00
Mg2 0.6667 0.3333 0.7500  0.00
U1 0.6667 0.3333 0.2500  2.90
U2 0.3333 0.6667 0.7500  2.90
In1 0.0000 0.0000 0.0000  0.00
In2 0.0000 0.0000 0.5000  0.00
Cl1 0.6165 0.6405 0.1424  -0.01
Cl2 0.0240 0.3835 0.1424  -0.01
Cl3 0.3835 0.0240 0.6424  -0.01
Cl4 0.9760 0.6165 0.8576  -0.01
Cl5 0.3595 0.3835 0.3576  -0.01
Cl6 0.0240 0.6405 0.3576  -0.01
Cl7 0.6405 0.0240 0.8576  -0.01
Cl8 0.6165 0.9760 0.3576  -0.01
Cl9 0.9760 0.3595 0.6424  -0.01
Cl10 0.3595 0.9760 0.1424  -0.01
Cl11 0.6405 0.6165 0.6424  -0.01
Cl12 0.3835 0.3595 0.8576  -0.01

SG   No. 163
Electronic total energy   -4.505 eV/atom
Total magnetic moment   6.0 μB/cell

No. 11
Compound: Ho3ErNi
Source: the Alexandria database
Functional: PBE-GGA
Structure: optimized geometry

a = 5.9241 Å, b = 6.4634 Å, c = 7.4295 Å
α = 90.02°, β = 90.00°, γ = 90.00°
Atoms (fractional coordinates):
Ho1 0.4223 0.3298 0.2010
Ho2 0.4249 0.8628 0.9520
Ho3 0.9248 0.4899 0.4521
Ho4 0.9221 0.0229 0.7007
Ho5 0.9251 0.4899 0.9495
Ho6 0.4250 0.8628 0.4494
Er1 0.4276 0.3260 0.7010
Er2 0.9278 0.0267 0.2007
Ni1 0.1784 0.6748 0.7006
Ni2 0.6784 0.6781 0.2006

Energy above the most stable polymorph in this dataset   96 meV per atom
SG   No. 31
Electronic total energy   -4.899 eV/atom
Total magnetic moment   0.0 μB/cell

No. 12
Compound: AgGe3Au3
Source: the Alexandria database
Functional: PBE-GGA
Structure: optimized geometry

a = 7.1826 Å, b = 7.1826 Å, c = 7.1826 Å
α = 90.00°, β = 90.00°, γ = 90.00°
Atoms (fractional coordinates):
Ge1 0.2500 0.0000 0.5000
Ge2 0.0000 0.5000 0.2500
Ge3 0.5000 0.7500 0.0000
Ge4 0.7500 0.0000 0.5000
Ge5 0.0000 0.5000 0.7500
Ge6 0.5000 0.2500 0.0000
Au1 0.0000 0.2500 0.5000
Au2 0.0000 0.7500 0.5000
Au3 0.5000 0.0000 0.7500
Au4 0.7500 0.5000 0.0000
Au5 0.5000 0.0000 0.2500
Au6 0.2500 0.5000 0.0000
Ag1 0.5000 0.5000 0.5000
Ag2 0.0000 0.0000 0.0000

SG   No. 223
Electronic total energy   -3.385 eV/atom
Total magnetic moment   0.0 μB/cell